Compound: MnHO2
Source: Alexandria via LeMat-Bulk
Functional: PBE+U
Structure: relaxed

Lattice parameters (Å, degrees): 2.9496 4.4925 5.3605 90.00 90.00 90.00
Last column: nearest neighbours and their distance in Å.
Element x y z (fractional)
Mn 0.0000 0.2282 0.0000  4 O 1.95-2.01
Mn 0.5000 0.7718 0.5000  4 O 1.95-2.01
H 0.0000 0.3084 0.5133  1 O 1.04
H 0.5000 0.6916 0.0133  1 O 1.04
O 0.0000 0.0118 0.3721  1 H 1.53
O 0.0000 0.5030 0.6185  1 H 1.04
O 0.5000 0.4970 0.1185  1 H 1.04
O 0.5000 0.9882 0.8721  1 H 1.53

**DFT total energy**: -6.574 eV per atom
**Total moment**: 1.000 μB per atom
**Calculated volume**: 8.9 Å³/atom